VASP calculation (PBE) on an optimized crystal structure of Dy2MoOs2.

```
5
Lattice="3.7789 0.0000 1.6097 1.0115 4.8649 2.8658 -0.2071 0.2599 5.7265" Properties=species:S:1:pos:R:3 pbc="T T T"
Os 3.9509 1.1713 3.8262
Os 0.6325 3.9536 6.3758
Dy 1.1763 1.1802 5.0992
Dy 3.4071 3.9446 5.1029
Mo 2.3952 2.4325 2.2378
```

The space-group type is Immm, No. 71. The formation energy comes out at -204.1 meV per atom. The calculation puts the density of states at the Fermi level at 4.2 states/eV per cell.

VASP calculation (PBE) on an optimized crystal structure of Re2GePd.

```
8
Lattice="-1.9892 3.7531 3.9867 -4.0089 -3.8874 1.6593 0.3309 -2.0109 6.3144" Properties=species:S:1:pos:R:3 pbc="T T T"
Re -2.6633 -2.4787 3.0976
Re -1.9846 -1.5426 6.8462
Re -5.0166 -1.6417 9.6829
Re -1.6698 1.3724 4.2941
Pd -2.3287 0.8375 6.5621
Pd 0.0000 0.0000 0.0000
Ge -3.3385 -2.9828 5.3984
Ge -2.9990 -0.0672 2.8230
```

The space-group type is I-42d, No. 122. For the energy above the most stable polymorph in this dataset, the calculation gives 1298 meV/atom. The formation energy comes out at 1642.4 meV per atom. The calculation puts the density of states at the Fermi level at 6.8 states/eV per cell.

VASP calculation (PBE) on an optimized crystal structure of CoTcSn2Au.

```
5
Lattice="5.1679 0.0000 0.0000 0.0000 5.2211 0.0000 0.0000 0.0000 5.1679" Properties=species:S:1:pos:R:3 pbc="T T T"
Sn 0.0000 0.0000 2.5840
Sn 2.5840 0.0000 0.0000
Co 2.5840 2.6106 2.5840
Au 0.0000 0.0000 0.0000
Tc 0.0000 2.6106 0.0000
```

The space-group type is P4/mmm, No. 123. For the energy above the most stable polymorph in this dataset, the calculation gives 458 meV/atom. The formation energy comes out at 1519.9 meV per atom. The calculation puts the density of states at the Fermi level at 6.9 states/eV per cell.

VASP calculation (PBE) on an optimized crystal structure of AlFeBiI2.

```
5
Lattice="-3.3745 1.0968 4.2213 -2.2540 -4.3544 -0.6705 3.5657 -2.3798 3.4687" Properties=species:S:1:pos:R:3 pbc="T T T"
Bi -1.1270 -2.1772 -0.3352
I 1.7829 -1.1899 1.7344
I -1.6872 0.5484 2.1107
Al -1.0314 -2.8187 3.5098
Fe 0.0000 0.0000 0.0000
```

The space-group type is P4/mmm, No. 123. The energy relative to the elements, uncorrected is 551 meV per atom. The calculation puts the density of states at the Fermi level at 5.8 states/eV per cell.

VASP calculation (PBE) on an optimized crystal structure of Pm2Er8Cd.

```
11
Lattice="6.3470 1.6385 1.2432 2.2458 9.1122 2.8032 2.2458 5.1533 8.0209" Properties=species:S:1:pos:R:3 pbc="T T T"
Pm 3.5485 3.2900 2.4964
Pm 7.2902 12.6139 9.5709
Er 3.5255 6.2091 4.7112
Er 6.8225 6.3400 6.8016
Er 6.3410 4.8672 3.6931
Er 7.3132 9.6949 7.3561
Er 4.4977 11.0367 8.3742
Er 4.0162 9.5640 5.2657
Er 4.0162 7.6465 7.7929
Er 6.8225 8.2575 4.2744
Cd 0.0000 0.0000 0.0000
```

The space-group type is C2/m, No. 12. The formation energy comes out at 99.0 meV per atom. The calculation puts the density of states at the Fermi level at 15.1 states/eV per cell.

VASP calculation (PBE) on an optimized crystal structure of Li2TiSe2.

```
10
Lattice="-0.5653 2.4279 6.4532 -6.5335 1.8799 -1.2796 -1.1803 -3.3219 1.1464" Properties=species:S:1:pos:R:3 pbc="T T T"
Li -4.8643 -0.1097 0.6676
Li -1.7198 -0.5248 2.7024
Li -3.4148 1.0956 5.6524
Li -6.5594 1.5106 3.6175
Ti -3.5494 2.1539 2.5868
Ti 0.0000 0.0000 0.0000
Se -2.2214 1.0359 0.7146
Se -4.8774 3.2718 4.4590
Se -5.5728 2.3393 1.0408
Se -1.5260 1.9684 4.1327
```

The space-group type is P4/mbm, No. 127. The energy relative to the elements, uncorrected is -908 meV per atom. The calculation puts the density of states at the Fermi level at 4.9 states/eV per cell.

Magnetization values, unit μB per atom, following the record order: 0.000 0.000 1.128 0.013 0.000 0.000.